LaPr2BiC: relaxed, PBE.

Properties
**Crystal system**: tetragonal
**DFT formation energy**: -2.229 eV/f.u.

Cell lengths 5.200, 5.188, 5.188 Å; angles 90.00, 90.00, 90.00 degrees
Fractional coordinates of all 5 atoms:
Bi 0.500 0.500 0.500
Pr 0.000 0.000 0.500
Pr 0.000 0.500 0.000
C 0.000 0.000 0.000
La 0.500 0.000 0.000

***

La2PrBiC: relaxed, PBE.

Properties
**Crystal system**: tetragonal
**DFT formation energy**: -2.378 eV/f.u.

Cell lengths 5.202, 5.212, 5.212 Å; angles 90.00, 90.00, 90.00 degrees
Fractional coordinates of all 5 atoms:
La 0.000 0.500 0.000
La 0.000 0.000 0.500
Pr 0.500 0.000 0.000
Bi 0.500 0.500 0.500
C 0.000 0.000 0.000

***

La2BiPtC: relaxed, PBE.

Properties
**Crystal system**: tetragonal
**DFT formation energy**: -3.294 eV/f.u.

Cell lengths 5.553, 5.553, 3.972 Å; angles 90.00, 90.00, 90.00 degrees
Fractional coordinates of all 5 atoms:
La 0.000 0.500 0.000
La 0.500 0.000 0.000
Pt 0.000 0.000 0.500
C 0.000 0.000 0.000
Bi 0.500 0.500 0.500

***

La2BiRhC: relaxed, PBE.

Properties
**Crystal system**: tetragonal
**DFT formation energy**: -2.630 eV/f.u.

Cell lengths 5.505, 5.505, 3.984 Å; angles 90.00, 90.00, 90.00 degrees
Fractional coordinates of all 5 atoms:
C 0.000 0.000 0.000
La 0.500 0.000 0.000
La 0.000 0.500 0.000
Rh 0.000 0.000 0.500
Bi 0.500 0.500 0.500

***

La2BiRuC: relaxed, PBE.

Properties
**Crystal system**: tetragonal
**DFT formation energy**: -2.036 eV/f.u.

Cell lengths 5.453, 5.453, 4.009 Å; angles 90.00, 90.00, 90.00 degrees
Fractional coordinates of all 5 atoms:
Bi 0.500 0.500 0.500
La 0.000 0.500 0.000
La 0.500 0.000 0.000
Ru 0.000 0.000 0.500
C 0.000 0.000 0.000

***

La2Sc2Bi2C: relaxed, PBE.

Properties
**Crystal system**: tetragonal
**DFT formation energy**: -5.746 eV/f.u.

Cell lengths 4.662, 4.662, 8.976 Å; angles 105.05, 105.05, 90.00 degrees
Each line ends with the local moment (μB).
Fractional coordinates of all 7 atoms:
C 0.000 0.000 0.000  0.00
Bi 0.369 0.369 0.738  -0.01
Bi 0.631 0.631 0.262  -0.01
La 0.840 0.840 0.679  0.03
La 0.160 0.160 0.321  0.03
Sc 0.000 0.500 0.000  0.06
Sc 0.500 0.000 0.000  0.06

***

La2ScBiC: relaxed, PBE.

Properties
**Crystal system**: tetragonal
**DFT formation energy**: 6.909 eV/f.u.

Cell lengths 5.665, 5.309, 5.665 Å; angles 90.00, 90.00, 90.00 degrees
Each line ends with the local moment (μB).
Fractional coordinates of all 5 atoms:
Bi 0.000 0.500 0.000  -0.02
La 0.500 0.000 0.000  0.08
La 0.000 0.000 0.500  0.10
C 0.500 0.500 0.500  0.75
Sc 0.000 0.000 0.000  0.20

***

La2ScBiC: relaxed, PBE.

Properties
**Crystal system**: tetragonal
**DFT formation energy**: -2.564 eV/f.u.

Cell lengths 5.307, 5.307, 4.582 Å; angles 90.00, 90.00, 90.00 degrees
Fractional coordinates of all 5 atoms:
La 0.000 0.500 0.000
La 0.500 0.000 0.000
C 0.000 0.000 0.000
Sc 0.000 0.000 0.500
Bi 0.500 0.500 0.500